# 1
Computed, not measured: a relaxed structure of RePIr2 at the GGA-PBE level of DFT.

Computed properties:
Crystal system = orthorhombic

Cell lengths 2.801, 4.518, 4.543 Å; angles 90.00, 90.00, 90.00 degrees
Space group Pmmm (No. 47)
One atom of each set of equivalent atoms:
Re (0.000, 0.000, 0.000)
P (0.500, 0.500, 0.000)
Ir (0.000, 0.500, 0.500)
Ir (0.500, 0.000, 0.500)


# 2
Computed, not measured: a relaxed structure of TiTlCu2W at the GGA-PBE level of DFT.

Computed properties:
Crystal system = tetragonal

Cell lengths 4.581, 4.581, 5.079 Å; angles 90.00, 90.00, 90.00 degrees
Space group P4/mmm (No. 123)
One atom of each set of equivalent atoms:
Ti (0.000, 0.000, 0.000)
Tl (0.000, 0.000, 0.500)
Cu (0.000, 0.500, 0.500)
W (0.500, 0.500, 0.000)


| no. | DFT total energy (eV per atom) | energy relative to the elements (eV/atom) |
| --- | --- | --- |
| 1 | -8.620 | 0.275 |
| 2 | -4.407 | 1.875 |